(1)
Here is a relaxed La2InIr4 crystal from Alexandria via LeMat-Bulk. Energies are from GGA-PBE.

Lattice parameters (Å, degrees): 4.9586 4.9586 14.0917 90.00 90.00 90.00
Space group I4/mmm (No. 139)
Unique sites:
La 0.0000 0.0000 0.1403 x4
In 0.0000 0.0000 0.5000 x2
Ir 0.0000 0.0000 0.3175 x4
Ir 0.0000 0.5000 0.0000 x4

Results
The value obtained for the formation energy is 0.542 eV/atom. The density of states at the Fermi level is 1.029 states/eV/atom. The total magnetization comes out at 0.000 μB per formula unit.



(2)
Here is a relaxed LaIn2Ir2 crystal from Alexandria via LeMat-Bulk. Energies are from GGA-PBE.

Lattice parameters (Å, degrees): 4.3471 4.3471 11.8859 90.00 90.00 90.00
Space group I4/mmm (No. 139)
Unique sites:
La 0.0000 0.0000 0.0000 x2
In 0.0000 0.5000 0.2500 x4
Ir 0.0000 0.0000 0.3967 x4

Results
The value obtained for the formation energy is -0.444 eV/atom. The density of states at the Fermi level is 0.795 states/eV/atom. The total magnetization comes out at 0.000 μB per formula unit.



(3)
Here is a relaxed La3InIr crystal from Alexandria via LeMat-Bulk. Energies are from GGA-PBE.

Lattice parameters (Å, degrees): 8.6380 11.6092 6.3429 90.00 90.00 90.00
Space group Cmcm (No. 63)
Unique sites:
La 0.0000 0.0000 0.0000 x4
La 0.1825 0.3022 0.2500 x8
In 0.0000 0.4431 0.7500 x4
Ir 0.0000 0.2102 0.7500 x4

Results
The value obtained for the formation energy is -0.277 eV/atom. As for the offset from the most stable computed form: 280 meV per atom. The density of states at the Fermi level is 1.206 states/eV/atom. The total magnetization comes out at 0.000 μB per formula unit.



(4)
Here is a relaxed LaIn6Ir3 crystal from Alexandria via LeMat-Bulk. Energies are from GGA-PBE.

Lattice parameters (Å, degrees): 9.6110 4.4541 10.4806 90.00 93.04 90.00
Space group P2_1/m (No. 11)
Unique sites:
La 0.0962 0.2500 0.2524 x2
In 0.0862 0.2500 0.9251 x2
In 0.1238 0.7500 0.4986 x2
In 0.2655 0.7500 0.7866 x2
In 0.3466 0.7500 0.2853 x2
In 0.3697 0.2500 0.5548 x2
In 0.4037 0.2500 0.0718 x2
Ir 0.1173 0.2500 0.6627 x2
Ir 0.2144 0.7500 0.0423 x2
Ir 0.4943 0.2500 0.3284 x2

Results
The value obtained for the formation energy is -0.282 eV/atom. The density of states at the Fermi level is 0.517 states/eV/atom. The total magnetization comes out at 0.000 μB per formula unit.